No. 1
{
  "formula": "ZnInIr2",
  "functional": "PBE",
  "state": "relaxed",
  "e_tot_ev_per_cell": -21.61,
  "sg": "Imm2 (44)",
  "ef_ev_per_fu": 0.13,
  "m_tot_mub_per_cell": 0.00,
  "cell": [[-2.416, 1.095, 5.892], [-5.780, -0.971, 2.721], [5.389, -1.842, -3.053]],
  "species": ["Ir", "Ir", "In", "Zn"],
  "fractional_positions": [[0.182, 0.682, 0.500], [0.996, 0.996, 0.000], [0.792, 0.292, 0.500], [0.530, 0.530, 0.000]]
}

---

No. 2
{
  "formula": "Hf2CI",
  "functional": "PBE",
  "state": "relaxed",
  "e_tot_ev_per_cell": -27.60,
  "de_polymorph_kj_per_mol_atoms": 69.4,
  "sg": "Fm-3m (225)",
  "m_tot_mub_per_cell": 0.00,
  "cell": [[0.000, 3.274, 3.274], [3.274, 0.000, 3.274], [3.274, 3.274, 0.000]],
  "species": ["Hf", "Hf", "C", "I"],
  "fractional_positions": [[0.250, 0.250, 0.250], [0.750, 0.750, 0.750], [0.000, 0.000, 0.000], [0.500, 0.500, 0.500]]
}

---

No. 3
{
  "formula": "Tl2Ag2I",
  "functional": "PBE",
  "state": "relaxed",
  "e_tot_ev_per_cell": -11.54,
  "de_polymorph_kj_per_mol_atoms": 12.1,
  "sg": "I4/mmm (139)",
  "m_tot_mub_per_cell": 0.00,
  "cell": [[-3.016, 2.144, 3.526], [-2.260, -4.512, 0.810], [1.282, -2.412, 6.267]],
  "species": ["Ag", "Ag", "I", "Tl", "Tl"],
  "fractional_positions": [[0.382, 0.382, 0.236], [0.618, 0.618, 0.764], [0.000, 0.000, 0.000], [0.750, 0.250, 0.500], [0.250, 0.750, 0.500]]
}

---

No. 4
{
  "formula": "LaCd2Os",
  "functional": "PBE",
  "state": "relaxed",
  "e_tot_ev_per_cell": -17.30,
  "sg": "P2/m (10)",
  "ef_ev_per_fu": 0.69,
  "m_tot_mub_per_cell": 0.41,
  "cell": [[-0.958, -2.583, 4.361], [3.168, -0.125, 0.622], [1.142, 4.532, 2.935]],
  "species": ["Os", "La", "Cd", "Cd"],
  "fractional_positions": [[0.500, 0.750, 0.750], [0.500, 0.250, 0.250], [0.000, 0.614, 0.527], [0.000, 0.886, 0.973]]
}

---

Values for calculated volume, Å³/atom, ordered as above
17.76 17.54 30.32 22.12